BaCaH3 after structural relaxation, computed with GGA-PBE.

Calculated values
offset from the most stable computed form = 428.7 meV/atom
symmetry = No. 221
DOS(E_F) = 1.26 states/eV/cell

a b c (Å): 4.892 4.892 4.892
angles (deg): 90.00 90.00 90.00
Atoms (fractional coordinates):
Ba (0.000, 0.000, 0.000)
Ca (0.500, 0.500, 0.500)
H (0.000, 0.000, 0.500)
H (0.000, 0.500, 0.000)
H (0.500, 0.000, 0.000)